Entry 1:
The following is a PBE calculation of a relaxed SrMnCr2 crystal, from Alexandria.

Values from the calculation:
For the energy above the most stable polymorph in this dataset, the calculation gives 0.278 eV/atom. The energy of formation comes out at 80 kJ/mol of atoms. The mass density comes out at 5.00 g/cm3. The space-group type is F-43m (216).

Lattice parameters (Å, degrees): 4.8751 4.8751 4.8751 60.00 60.00 60.00
Atoms (fractional coordinates):
Sr 0.0000 0.0000 0.0000
Mn 0.2500 0.2500 0.2500
Cr 0.5000 0.5000 0.5000
Cr 0.7500 0.7500 0.7500

***

Entry 2:
The following is a PBE calculation of a relaxed KCeCu2Cl8 crystal, from Alexandria.

Values from the calculation:
Its raw formation energy is -1.356 eV/atom. The mass density comes out at 2.65 g/cm3. The space-group type is P-1 (2).

Lattice parameters (Å, degrees): 6.3866 6.9836 9.0586 68.69 80.90 80.98
Atoms (fractional coordinates):
K 0.0000 0.0000 0.0000
Ce 0.0000 0.5000 0.5000
Cu 0.4704 0.5269 0.8286
Cu 0.5296 0.4731 0.1714
Cl 0.1303 0.4708 0.7786
Cl 0.1297 0.8593 0.3481
Cl 0.3786 0.3117 0.4206
Cl 0.4740 0.7584 0.9561
Cl 0.5260 0.2416 0.0439
Cl 0.6214 0.6883 0.5794
Cl 0.8703 0.1407 0.6519
Cl 0.8697 0.5292 0.2214

***

Entry 3:
The following is a PBE calculation of a relaxed Cd2ClO crystal, from Alexandria.

Values from the calculation:
Its raw formation energy is -0.155 eV/atom. The mass density comes out at 6.43 g/cm3. The space-group type is Fm-3m (225).

Lattice parameters (Å, degrees): 4.6556 4.6556 4.6556 60.00 60.00 60.00
Atoms (fractional coordinates):
Cd 0.2500 0.2500 0.2500
Cd 0.7500 0.7500 0.7500
Cl 0.0000 0.0000 0.0000
O 0.5000 0.5000 0.5000

***

Entry 4:
The following is a PBE calculation of a relaxed SmY5In4 crystal, from Alexandria.

Values from the calculation:
The energy of formation comes out at -39 kJ/mol of atoms. The mass density comes out at 6.25 g/cm3. The space-group type is P4/mmm (123).

Lattice parameters (Å, degrees): 3.5870 3.5870 21.7826 90.00 90.00 90.00
Atoms (fractional coordinates):
Sm 0.0000 0.0000 0.0000
Y 0.5000 0.5000 0.1177
Y 0.5000 0.5000 0.3080
Y 0.5000 0.5000 0.5000
Y 0.5000 0.5000 0.6920
Y 0.5000 0.5000 0.8823
In 0.0000 0.0000 0.2123
In 0.0000 0.0000 0.4040
In 0.0000 0.0000 0.5960
In 0.0000 0.0000 0.7877

***

Entry 5:
The following is a PBE calculation of a relaxed BaCrW2 crystal, from Alexandria.

Values from the calculation:
For the energy above the most stable polymorph in this dataset, the calculation gives 0.723 eV/atom. The energy of formation comes out at 153 kJ/mol of atoms. The mass density comes out at 8.41 g/cm3. The space-group type is I4_1/amd (141).

Lattice parameters (Å, degrees): 9.1844 9.1844 9.1844 147.73 147.73 46.28
Atoms (fractional coordinates):
Ba 0.3750 0.6250 0.7500
Ba 0.6250 0.3750 0.2500
Cr 0.1250 0.8750 0.2500
Cr 0.8750 0.1250 0.7500
W 0.0000 0.0000 0.0000
W 0.0000 0.0000 0.5000
W 0.0000 0.5000 0.0000
W 0.5000 0.0000 0.5000

***

Entry 6:
The following is a PBE calculation of a relaxed Ac3Ge3Rh2 crystal, from Alexandria.

Values from the calculation:
For the energy above the most stable polymorph in this dataset, the calculation gives 0.000 eV/atom. The energy of formation comes out at -79 kJ/mol of atoms. The mass density comes out at 8.94 g/cm3. The space-group type is Cmcm (63).

Lattice parameters (Å, degrees): 6.2034 6.2034 16.2781 90.00 90.00 139.07
Atoms (fractional coordinates):
Ac 0.0742 0.9258 0.7500
Ac 0.3525 0.6475 0.5937
Ac 0.3525 0.6475 0.9063
Ac 0.6475 0.3525 0.0937
Ac 0.6475 0.3525 0.4063
Ac 0.9258 0.0742 0.2500
Ge 0.0767 0.9233 0.5537
Ge 0.0767 0.9233 0.9463
Ge 0.2150 0.7850 0.2500
Ge 0.7850 0.2150 0.7500
Ge 0.9233 0.0767 0.0537
Ge 0.9233 0.0767 0.4463
Rh 0.3553 0.6447 0.1217
Rh 0.3553 0.6447 0.3783
Rh 0.6447 0.3553 0.6217
Rh 0.6447 0.3553 0.8783